# AcLa7Tb4 | Alexandria | PBE-GGA | relaxed
# calculated formation energy = 0.01 eV per atom
# relative energy among the computed polymorphs = 0.0 meV/atom
# calculated total energy = -4.75 eV/atom
# M_tot = 0.00 μB/cell
data_AcLa7Tb4
_space_group_name_H-M_alt 'P -1'
_space_group_IT_number 2
_space_group_name_Hall '-P 1'
_cell_length_a 6.487
_cell_length_b 7.458
_cell_length_c 9.168
_cell_angle_alpha 89.94
_cell_angle_beta 76.44
_cell_angle_gamma 89.96
loop_
_atom_site_label
_atom_site_fract_x
_atom_site_fract_y
_atom_site_fract_z
Ac1 0.000 0.000 0.000
La1 0.000 0.500 0.000
La2 0.226 0.000 0.337
La3 0.283 0.745 0.663
La4 0.499 0.743 0.003
Tb1 0.217 0.500 0.335
Tb2 0.277 0.259 0.666